Entry 1:
LaMgSb2 | GGA-PBE | optimized geometry

Unit cell a=6.805 b=6.805 c=6.805 alpha=106.48 beta=106.48 gamma=115.64
Fractional coordinates of all 8 atoms:
1 La 0.000 0.000 0.000
2 La 0.750 0.250 0.500
3 Mg 0.250 0.750 0.500
4 Mg 0.500 0.500 0.000
5 Sb 0.157 0.625 0.032
6 Sb 0.375 0.407 0.532
7 Sb 0.593 0.125 0.968
8 Sb 0.875 0.843 0.468

Values from the calculation:
VASP energy (eV/atom): -4.30
Fermi-level density of states (states/eV per cell): 3.63

---

Entry 2:
LaMg2Sb2 | GGA-PBE | optimized geometry

Unit cell a=7.718 b=7.596 c=7.278 alpha=62.47 beta=60.78 gamma=56.74
Fractional coordinates of all 10 atoms:
1 La 0.125 0.125 0.125
2 La 0.875 0.875 0.875
3 Mg 0.229 0.521 0.229
4 Mg 0.479 0.771 0.479
5 Mg 0.521 0.229 0.521
6 Mg 0.771 0.479 0.771
7 Sb 0.158 0.158 0.592
8 Sb 0.408 0.408 0.842
9 Sb 0.592 0.592 0.158
10 Sb 0.842 0.842 0.408

Values from the calculation:
VASP energy (eV/atom): -3.82
Fermi-level density of states (states/eV per cell): 5.43

---

Entry 3:
La2MgSb | GGA-PBE | optimized geometry

Unit cell a=5.556 b=5.556 c=5.556 alpha=60.00 beta=60.00 gamma=60.00
Fractional coordinates of all 4 atoms:
1 La 0.250 0.250 0.250
2 La 0.750 0.750 0.750
3 Mg 0.000 0.000 0.000
4 Sb 0.500 0.500 0.500

Values from the calculation:
VASP energy (eV/atom): -4.42
Fermi-level density of states (states/eV per cell): 4.95
Energy above the lowest structure with this stoichiometry (meV/atom): 85

---

Entry 4:
LaMgSb2 | GGA-PBE | optimized geometry

Unit cell a=5.431 b=5.431 c=5.431 alpha=60.00 beta=60.00 gamma=60.00
Fractional coordinates of all 4 atoms:
1 La 0.000 0.000 0.000
2 Mg 0.250 0.250 0.250
3 Sb 0.500 0.500 0.500
4 Sb 0.750 0.750 0.750

Values from the calculation:
VASP energy (eV/atom): -3.98
Fermi-level density of states (states/eV per cell): 2.95

---

Question: Number 3 is which compound?
Answer: La2MgSb

---

Question: What is the formula in the fourth record?
Answer: LaMgSb2

---

Question: Which formula does entry 3 have?
Answer: La2MgSb

---

Question: Number 1 is which compound?
Answer: LaMgSb2